Entry 1:
# AsP3Br PBE optimized geometry
data_AsP3Br
_cell_length_a 4.8128
_cell_length_b 4.8128
_cell_length_c 4.8128
_cell_angle_alpha 90.00
_cell_angle_beta 90.00
_cell_angle_gamma 90.00
_symmetry_space_group_name_H-M 'P m -3 m'
_symmetry_Int_Tables_number 221
_symmetry_space_group_name_Hall '-P 4 2 3'
loop_
_atom_site_label
_atom_site_type_symbol
_atom_site_fract_x
_atom_site_fract_y
_atom_site_fract_z
_atom_site_occupancy
As1 As 0.0000 0.0000 0.0000 1
P1 P 0.0000 0.0000 0.5000 1
Br1 Br 0.5000 0.5000 0.5000 1
# E_form (uncorrected): 1.134 eV per atom

Entry 2:
# NaPm3Nd4Te8 PBE optimized geometry
data_NaPm3Nd4Te8
_cell_length_a 8.9759
_cell_length_b 8.9759
_cell_length_c 21.9947
_cell_angle_alpha 90.00
_cell_angle_beta 90.00
_cell_angle_gamma 120.00
_symmetry_space_group_name_H-M 'R -3 m'
_symmetry_Int_Tables_number 166
_symmetry_space_group_name_Hall '-R 3 2"'
loop_
_atom_site_label
_atom_site_type_symbol
_atom_site_fract_x
_atom_site_fract_y
_atom_site_fract_z
_atom_site_occupancy
Na1 Na 0.0000 0.0000 0.0000 1
Pm1 Pm 0.0000 0.5000 0.0000 1
Nd1 Nd 0.0000 0.0000 0.5000 1
Nd2 Nd 0.0000 0.5000 0.5000 1
Te1 Te 0.0000 0.0000 0.2508 1
Te2 Te 0.0026 0.5013 0.7485 1
# E_form (uncorrected): -1.399 eV per atom

Entry 3:
# K2ScNi PBE optimized geometry
data_K2ScNi
_cell_length_a 5.4420
_cell_length_b 5.4420
_cell_length_c 7.6601
_cell_angle_alpha 90.00
_cell_angle_beta 90.00
_cell_angle_gamma 90.00
_symmetry_space_group_name_H-M 'I -4 m 2'
_symmetry_Int_Tables_number 119
_symmetry_space_group_name_Hall 'I -4 -2'
loop_
_atom_site_label
_atom_site_type_symbol
_atom_site_fract_x
_atom_site_fract_y
_atom_site_fract_z
_atom_site_occupancy
K1 K 0.0000 0.0000 0.0000 1
K2 K 0.0000 0.5000 0.2500 1
Sc1 Sc 0.0000 0.5000 0.7500 1
Ni1 Ni 0.0000 0.0000 0.5000 1
# E_form: 0.813 eV per atom

Entry 4:
# Li6Cd3Rh PBE optimized geometry
data_Li6Cd3Rh
_cell_length_a 10.4439
_cell_length_b 10.4439
_cell_length_c 5.5399
_cell_angle_alpha 90.00
_cell_angle_beta 90.00
_cell_angle_gamma 120.00
_symmetry_space_group_name_H-M 'R 3 m'
_symmetry_Int_Tables_number 160
_symmetry_space_group_name_Hall 'R 3 -2"'
loop_
_atom_site_label
_atom_site_type_symbol
_atom_site_fract_x
_atom_site_fract_y
_atom_site_fract_z
_atom_site_occupancy
Li1 Li 0.0882 0.1764 0.0000 1
Li2 Li 0.2143 0.1071 0.3741 1
Cd1 Cd 0.0071 0.5035 0.1951 1
Rh1 Rh 0.0000 0.0000 0.6512 1
# E_form: -0.069 eV per atom

The following E_tot values (in eV per atom) correspond, in order, to the records above: -3.377; -5.135; -2.764; -2.227.